Entry 1:
# PBE Na2SbI4, optimized geometry
# Energy relative to the elements, uncorrected (eV per atom): -0.678
data_Na2SbI4
_cell_length_a 8.0885
_cell_length_b 8.0885
_cell_length_c 8.9865
_cell_angle_alpha 90.00
_cell_angle_beta 90.00
_cell_angle_gamma 90.00
_space_group_name_H-M_alt 'I -4 2 m'
_space_group_IT_number 121
_space_group_name_Hall 'I -4 2'
loop_
_atom_site_label
_atom_site_type_symbol
_atom_site_fract_x
_atom_site_fract_y
_atom_site_fract_z
Na1 Na 0.0000 0.5000 0.2500
Sb1 Sb 0.0000 0.0000 0.0000
I1 I 0.2417 0.2417 0.4228

---

Entry 2:
# PBE NaSbI3, optimized geometry
# Energy relative to the elements, uncorrected (eV per atom): -0.617
data_NaSbI3
_cell_length_a 6.3541
_cell_length_b 6.3647
_cell_length_c 11.1658
_cell_angle_alpha 84.76
_cell_angle_beta 83.94
_cell_angle_gamma 88.31
_space_group_name_H-M_alt 'P 1'
_space_group_IT_number 1
_space_group_name_Hall 'P 1'
loop_
_atom_site_label
_atom_site_type_symbol
_atom_site_fract_x
_atom_site_fract_y
_atom_site_fract_z
Na1 Na 0.0000 0.0000 0.0000
Na2 Na 0.4951 0.5067 0.9941
Sb1 Sb 0.1626 0.6663 0.6189
Sb2 Sb 0.3320 0.8389 0.3742
I1 I 0.0034 0.5083 0.9517
I2 I 0.0919 0.0749 0.6895
I3 I 0.4027 0.4303 0.3035
I4 I 0.4916 0.9982 0.0412
I5 I 0.5742 0.5896 0.6831
I6 I 0.9205 0.9153 0.3096

---

Entry 3:
# PBE Na2Sb2I, optimized geometry
# Energy relative to the elements, uncorrected (eV per atom): -0.341
# D(E_F) (states/eV per cell): 3.80
data_Na2Sb2I
_cell_length_a 8.7265
_cell_length_b 8.7265
_cell_length_c 4.5563
_cell_angle_alpha 90.00
_cell_angle_beta 90.00
_cell_angle_gamma 90.00
_space_group_name_H-M_alt 'P 4/m b m'
_space_group_IT_number 127
_space_group_name_Hall '-P 4 2ab'
loop_
_atom_site_label
_atom_site_type_symbol
_atom_site_fract_x
_atom_site_fract_y
_atom_site_fract_z
Na1 Na 0.1841 0.3159 0.0000
Sb1 Sb 0.1066 0.6066 0.5000
I1 I 0.0000 0.0000 0.0000

---

Entry 4:
# PBE Na2Sb2I7, optimized geometry
# Energy relative to the elements, uncorrected (eV per atom): -0.524
# D(E_F) (states/eV per cell): 7.06
data_Na2Sb2I7
_cell_length_a 10.3090
_cell_length_b 13.6095
_cell_length_c 8.2313
_cell_angle_alpha 90.00
_cell_angle_beta 94.77
_cell_angle_gamma 90.00
_space_group_name_H-M_alt 'C 1 2/m 1'
_space_group_IT_number 12
_space_group_name_Hall '-C 2y'
loop_
_atom_site_label
_atom_site_type_symbol
_atom_site_fract_x
_atom_site_fract_y
_atom_site_fract_z
Na1 Na 0.0000 0.1779 0.0000
Sb1 Sb 0.2250 0.0000 0.6060
I1 I 0.0000 0.5000 0.5000
I2 I 0.0897 0.0000 0.2529
I3 I 0.2345 0.3269 0.1903

---

Entry 5:
# PBE NaSb2I6, optimized geometry
# Energy relative to the elements, uncorrected (eV per atom): -0.392
# D(E_F) (states/eV per cell): 14.33
data_NaSb2I6
_cell_length_a 8.0970
_cell_length_b 8.0970
_cell_length_c 22.1860
_cell_angle_alpha 90.00
_cell_angle_beta 90.00
_cell_angle_gamma 120.00
_space_group_name_H-M_alt 'R 3'
_space_group_IT_number 146
_space_group_name_Hall 'R 3'
loop_
_atom_site_label
_atom_site_type_symbol
_atom_site_fract_x
_atom_site_fract_y
_atom_site_fract_z
Na1 Na 0.0000 0.0000 0.0000
Sb1 Sb 0.0000 0.0000 0.2217
Sb2 Sb 0.0000 0.0000 0.3647
I1 I 0.0062 0.6917 0.5900
I2 I 0.0371 0.3341 0.0908

---

Entry 6:
# PBE NaSbI3, optimized geometry
# Energy relative to the elements, uncorrected (eV per atom): 0.065
# D(E_F) (states/eV per cell): 1.73
data_NaSbI3
_cell_length_a 5.7763
_cell_length_b 5.7763
_cell_length_c 5.7763
_cell_angle_alpha 90.00
_cell_angle_beta 90.00
_cell_angle_gamma 90.00
_space_group_name_H-M_alt 'P m -3 m'
_space_group_IT_number 221
_space_group_name_Hall '-P 4 2 3'
loop_
_atom_site_label
_atom_site_type_symbol
_atom_site_fract_x
_atom_site_fract_y
_atom_site_fract_z
Na1 Na 0.0000 0.0000 0.0000
Sb1 Sb 0.5000 0.5000 0.5000
I1 I 0.0000 0.0000 0.5000

---

Entry 7:
# PBE NaSbI4, optimized geometry
# Energy relative to the elements, uncorrected (eV per atom): -0.623
# D(E_F) (states/eV per cell): 0.00
data_NaSbI4
_cell_length_a 9.0644
_cell_length_b 18.7887
_cell_length_c 7.7856
_cell_angle_alpha 90.00
_cell_angle_beta 124.18
_cell_angle_gamma 90.00
_space_group_name_H-M_alt 'C 1 2/c 1'
_space_group_IT_number 15
_space_group_name_Hall '-C 2yc'
loop_
_atom_site_label
_atom_site_type_symbol
_atom_site_fract_x
_atom_site_fract_y
_atom_site_fract_z
Na1 Na 0.0000 0.0739 0.2500
Sb1 Sb 0.0000 0.4261 0.7500
I1 I 0.2215 0.3207 0.7373
I2 I 0.2455 0.4463 0.2261

---

Entry 8:
# PBE Na3SbI6, optimized geometry
# Energy relative to the elements, uncorrected (eV per atom): -0.697
# D(E_F) (states/eV per cell): 0.00
data_Na3SbI6
_cell_length_a 12.2033
_cell_length_b 12.2033
_cell_length_c 12.2033
_cell_angle_alpha 90.00
_cell_angle_beta 90.00
_cell_angle_gamma 90.00
_space_group_name_H-M_alt 'F m -3 m'
_space_group_IT_number 225
_space_group_name_Hall '-F 4 2 3'
loop_
_atom_site_label
_atom_site_type_symbol
_atom_site_fract_x
_atom_site_fract_y
_atom_site_fract_z
Na1 Na 0.0000 0.0000 0.0000
Na2 Na 0.2500 0.2500 0.2500
Sb1 Sb 0.0000 0.0000 0.5000
I1 I 0.0000 0.0000 0.2539

---

Entry 9:
# PBE NaSbI3, optimized geometry
# Energy relative to the elements, uncorrected (eV per atom): -0.526
# D(E_F) (states/eV per cell): 4.68
data_NaSbI3
_cell_length_a 15.8295
_cell_length_b 13.0886
_cell_length_c 4.1655
_cell_angle_alpha 90.00
_cell_angle_beta 90.01
_cell_angle_gamma 90.00
_space_group_name_H-M_alt 'C 1 2/m 1'
_space_group_IT_number 12
_space_group_name_Hall '-C 2y'
loop_
_atom_site_label
_atom_site_type_symbol
_atom_site_fract_x
_atom_site_fract_y
_atom_site_fract_z
Na1 Na 0.2017 0.0000 0.0017
Sb1 Sb 0.0000 0.3174 0.5000
I1 I 0.1364 0.1697 0.5013
I2 I 0.1358 0.5000 0.4998

---

Entry 10:
# PBE NaSbI2, optimized geometry
# Energy relative to the elements, uncorrected (eV per atom): -0.153
# D(E_F) (states/eV per cell): 16.11
data_NaSbI2
_cell_length_a 8.0795
_cell_length_b 8.0795
_cell_length_c 8.0795
_cell_angle_alpha 90.00
_cell_angle_beta 90.00
_cell_angle_gamma 90.00
_space_group_name_H-M_alt 'F m -3 m'
_space_group_IT_number 225
_space_group_name_Hall '-F 4 2 3'
loop_
_atom_site_label
_atom_site_type_symbol
_atom_site_fract_x
_atom_site_fract_y
_atom_site_fract_z
Na1 Na 0.0000 0.0000 0.0000
Sb1 Sb 0.0000 0.0000 0.5000
I1 I 0.2500 0.2500 0.2500

---

Entry 11:
# PBE Na4SbI, optimized geometry
# Energy relative to the elements, uncorrected (eV per atom): -0.673
data_Na4SbI
_cell_length_a 10.6517
_cell_length_b 14.9791
_cell_length_c 7.5386
_cell_angle_alpha 90.00
_cell_angle_beta 134.93
_cell_angle_gamma 90.00
_space_group_name_H-M_alt 'C 1 2/c 1'
_space_group_IT_number 15
_space_group_name_Hall '-C 2yc'
loop_
_atom_site_label
_atom_site_type_symbol
_atom_site_fract_x
_atom_site_fract_y
_atom_site_fract_z
Na1 Na 0.2173 0.0008 0.2148
Na2 Na 0.2502 0.2504 0.2827
Sb1 Sb 0.0000 0.1250 0.2500
I1 I 0.0000 0.3750 0.7500

---

Entry 12:
# PBE Na2Sb2I, optimized geometry
# Energy relative to the elements, uncorrected (eV per atom): -0.154
# D(E_F) (states/eV per cell): 5.92
data_Na2Sb2I
_cell_length_a 6.1230
_cell_length_b 6.1230
_cell_length_c 10.2368
_cell_angle_alpha 90.00
_cell_angle_beta 90.00
_cell_angle_gamma 90.00
_space_group_name_H-M_alt 'I 4/m m m'
_space_group_IT_number 139
_space_group_name_Hall '-I 4 2'
loop_
_atom_site_label
_atom_site_type_symbol
_atom_site_fract_x
_atom_site_fract_y
_atom_site_fract_z
Na1 Na 0.0000 0.5000 0.2500
Sb1 Sb 0.0000 0.0000 0.1271
I1 I 0.0000 0.0000 0.5000

---

Entry 13:
# PBE NaSbI5, optimized geometry
# Energy relative to the elements, uncorrected (eV per atom): -0.413
# D(E_F) (states/eV per cell): 18.58
data_NaSbI5
_cell_length_a 12.7183
_cell_length_b 9.0393
_cell_length_c 12.5517
_cell_angle_alpha 90.00
_cell_angle_beta 118.38
_cell_angle_gamma 90.00
_space_group_name_H-M_alt 'C 1 2/c 1'
_space_group_IT_number 15
_space_group_name_Hall '-C 2yc'
loop_
_atom_site_label
_atom_site_type_symbol
_atom_site_fract_x
_atom_site_fract_y
_atom_site_fract_z
Na1 Na 0.0000 0.1481 0.2500
Sb1 Sb 0.0000 0.5000 0.0000
I1 I 0.0000 0.4955 0.2500
I2 I 0.0266 0.1746 0.5153
I3 I 0.2400 0.0474 0.8736

---

Entry 14:
# PBE NaSbI2, optimized geometry
# Energy relative to the elements, uncorrected (eV per atom): -0.085
# D(E_F) (states/eV per cell): 7.48
data_NaSbI2
_cell_length_a 5.3887
_cell_length_b 5.3887
_cell_length_c 25.1586
_cell_angle_alpha 90.00
_cell_angle_beta 90.00
_cell_angle_gamma 120.00
_space_group_name_H-M_alt 'R -3 m'
_space_group_IT_number 166
_space_group_name_Hall '-R 3 2"'
loop_
_atom_site_label
_atom_site_type_symbol
_atom_site_fract_x
_atom_site_fract_y
_atom_site_fract_z
Na1 Na 0.0000 0.0000 0.0000
Sb1 Sb 0.0000 0.0000 0.5000
I1 I 0.0000 0.0000 0.1158

---

Entry 15:
# PBE Na3SbI6, optimized geometry
# Energy relative to the elements, uncorrected (eV per atom): -0.855
# D(E_F) (states/eV per cell): 0.00
data_Na3SbI6
_cell_length_a 7.8155
_cell_length_b 8.3934
_cell_length_c 14.1117
_cell_angle_alpha 90.00
_cell_angle_beta 122.93
_cell_angle_gamma 90.00
_space_group_name_H-M_alt 'P 1 21/c 1'
_space_group_IT_number 14
_space_group_name_Hall '-P 2ybc'
loop_
_atom_site_label
_atom_site_type_symbol
_atom_site_fract_x
_atom_site_fract_y
_atom_site_fract_z
Na1 Na 0.0000 0.0000 0.0000
Na2 Na 0.1942 0.1023 0.7363
Sb1 Sb 0.5000 0.0000 0.5000
I1 I 0.1112 0.1798 0.4286
I2 I 0.2526 0.6917 0.4206
I3 I 0.4135 0.0579 0.2625

---

Entry 16:
# PBE NaSb2I, optimized geometry
# Energy relative to the elements, uncorrected (eV per atom): 0.304
# D(E_F) (states/eV per cell): 9.82
data_NaSb2I
_cell_length_a 7.8400
_cell_length_b 7.8400
_cell_length_c 7.8400
_cell_angle_alpha 90.00
_cell_angle_beta 90.00
_cell_angle_gamma 90.00
_space_group_name_H-M_alt 'F m -3 m'
_space_group_IT_number 225
_space_group_name_Hall '-F 4 2 3'
loop_
_atom_site_label
_atom_site_type_symbol
_atom_site_fract_x
_atom_site_fract_y
_atom_site_fract_z
Na1 Na 0.0000 0.0000 0.0000
Sb1 Sb 0.2500 0.2500 0.2500
I1 I 0.0000 0.0000 0.5000

---

Entry 17:
# PBE Na2SbI, optimized geometry
# Energy relative to the elements, uncorrected (eV per atom): -0.395
# D(E_F) (states/eV per cell): 6.74
data_Na2SbI
_cell_length_a 8.6418
_cell_length_b 8.6418
_cell_length_c 6.8469
_cell_angle_alpha 90.00
_cell_angle_beta 90.00
_cell_angle_gamma 90.00
_space_group_name_H-M_alt 'I -4 2 d'
_space_group_IT_number 122
_space_group_name_Hall 'I -4 2bw'
loop_
_atom_site_label
_atom_site_type_symbol
_atom_site_fract_x
_atom_site_fract_y
_atom_site_fract_z
Na1 Na 0.2487 0.7500 0.1250
Sb1 Sb 0.0000 0.0000 0.5000
I1 I 0.0000 0.0000 0.0000

---

Entry 18:
# PBE NaSb2I, optimized geometry
# Energy relative to the elements, uncorrected (eV per atom): -0.318
# D(E_F) (states/eV per cell): 7.21
data_NaSb2I
_cell_length_a 4.3899
_cell_length_b 4.3899
_cell_length_c 29.9486
_cell_angle_alpha 90.00
_cell_angle_beta 90.00
_cell_angle_gamma 90.00
_space_group_name_H-M_alt 'I -4 2 d'
_space_group_IT_number 122
_space_group_name_Hall 'I -4 2bw'
loop_
_atom_site_label
_atom_site_type_symbol
_atom_site_fract_x
_atom_site_fract_y
_atom_site_fract_z
Na1 Na 0.0000 0.0000 0.0000
Sb1 Sb 0.2052 0.2500 0.1250
I1 I 0.0000 0.0000 0.5000

---

Entry 19:
# PBE NaSbI3, optimized geometry
# Energy relative to the elements, uncorrected (eV per atom): -0.432
# D(E_F) (states/eV per cell): 1.43
data_NaSbI3
_cell_length_a 6.1451
_cell_length_b 6.1451
_cell_length_c 6.1451
_cell_angle_alpha 90.00
_cell_angle_beta 90.00
_cell_angle_gamma 90.00
_space_group_name_H-M_alt 'P m -3 m'
_space_group_IT_number 221
_space_group_name_Hall '-P 4 2 3'
loop_
_atom_site_label
_atom_site_type_symbol
_atom_site_fract_x
_atom_site_fract_y
_atom_site_fract_z
Na1 Na 0.0000 0.0000 0.0000
Sb1 Sb 0.5000 0.5000 0.5000
I1 I 0.0000 0.5000 0.5000

---

Entry 20:
# PBE Na2SbI, optimized geometry
# Energy relative to the elements, uncorrected (eV per atom): -0.300
# D(E_F) (states/eV per cell): 20.67
data_Na2SbI
_cell_length_a 7.8691
_cell_length_b 7.8691
_cell_length_c 7.8691
_cell_angle_alpha 90.00
_cell_angle_beta 90.00
_cell_angle_gamma 90.00
_space_group_name_H-M_alt 'F m -3 m'
_space_group_IT_number 225
_space_group_name_Hall '-F 4 2 3'
loop_
_atom_site_label
_atom_site_type_symbol
_atom_site_fract_x
_atom_site_fract_y
_atom_site_fract_z
Na1 Na 0.2500 0.2500 0.2500
Sb1 Sb 0.0000 0.0000 0.0000
I1 I 0.0000 0.0000 0.5000